[1]
A plane-wave DFT calculation with PBE was carried out for MnRe2Ir after structural relaxation.

Lattice parameters (Å, degrees): 4.3534 4.3534 4.3534 60.00 60.00 60.00
Closest atoms and distances in Å follow each position.
Atoms (fractional coordinates):
Mn  0.0000  0.0000  0.0000  4 Re 2.67, 4 Ir 2.67
Re  0.5000  0.5000  0.5000  4 Re 2.67, 4 Ir 2.67
Re  0.7500  0.7500  0.7500  4 Re 2.67, 4 Mn 2.67
Ir  0.2500  0.2500  0.2500  4 Re 2.67, 4 Mn 2.67

Volume (Å³/cell): 58.34
Formation energy (eV per atom): 0.18
Theoretical density (kg/m³): 17634
SG: F-43m, No. 216



[2]
A plane-wave DFT calculation with PBE was carried out for Mn3ReIr12 after structural relaxation.

Lattice parameters (Å, degrees): 3.8403 3.8403 15.4037 90.00 90.00 90.00
Closest atoms and distances in Å follow each position.
Atoms (fractional coordinates):
Mn  0.0000  0.0000  0.0000  12 Ir 2.70-2.72
Mn  0.0000  0.0000  0.2445  12 Ir 2.68-2.78
Mn  0.0000  0.0000  0.7555  12 Ir 2.68-2.78
Re  0.0000  0.0000  0.5000  12 Ir 2.72
Ir  0.0000  0.5000  0.1234  4 Mn 2.68-2.70, 8 Ir 2.70-2.73
Ir  0.0000  0.5000  0.3753  8 Ir 2.72-2.73, 2 Re 2.72, 2 Mn 2.78
Ir  0.0000  0.5000  0.6247  8 Ir 2.72-2.73, 2 Re 2.72, 2 Mn 2.78
Ir  0.0000  0.5000  0.8766  4 Mn 2.68-2.70, 8 Ir 2.70-2.73
Ir  0.5000  0.0000  0.1234  4 Mn 2.68-2.70, 8 Ir 2.70-2.73
Ir  0.5000  0.0000  0.3753  8 Ir 2.72-2.73, 2 Re 2.72, 2 Mn 2.78
Ir  0.5000  0.0000  0.6247  8 Ir 2.72-2.73, 2 Re 2.72, 2 Mn 2.78
Ir  0.5000  0.0000  0.8766  4 Mn 2.68-2.70, 8 Ir 2.70-2.73
Ir  0.5000  0.5000  0.0000  8 Ir 2.70, 4 Mn 2.72
Ir  0.5000  0.5000  0.2493  4 Mn 2.72, 8 Ir 2.73
Ir  0.5000  0.5000  0.5000  4 Re 2.72, 8 Ir 2.72
Ir  0.5000  0.5000  0.7507  4 Mn 2.72, 8 Ir 2.73

Volume (Å³/cell): 227.18
Formation energy (eV per atom): -0.17
Theoretical density (kg/m³): 19426
SG: P4/mmm, No. 123



[3]
A plane-wave DFT calculation with PBE was carried out for Mn2ReIr after structural relaxation.

Lattice parameters (Å, degrees): 8.5956 8.5956 8.5956 17.87 17.87 17.87
Closest atoms and distances in Å follow each position.
Atoms (fractional coordinates):
Mn  0.0000  0.0000  0.0000  9 Mn 2.46-2.67, 3 Re 2.63
Mn  0.2579  0.2579  0.2579  9 Mn 2.46-2.67, 3 Ir 2.61
Re  0.7506  0.7506  0.7506  3 Mn 2.63, 6 Re 2.67, 3 Ir 2.77
Ir  0.5080  0.5080  0.5080  3 Mn 2.61, 6 Ir 2.67, 3 Re 2.77

Volume (Å³/cell): 52.22
Formation energy (eV per atom): 0.10
Theoretical density (kg/m³): 15528
SG: R3m, No. 160



[4]
A plane-wave DFT calculation with PBE was carried out for MnReIr2 after structural relaxation.

Lattice parameters (Å, degrees): 4.6845 4.6845 2.7210 90.00 90.00 109.30
Closest atoms and distances in Å follow each position.
Atoms (fractional coordinates):
Mn  0.0000  0.0000  0.0000  8 Ir 2.71, 2 Re 2.71, 2 Mn 2.72
Re  0.5000  0.5000  0.0000  8 Ir 2.71, 2 Mn 2.71, 2 Re 2.72
Ir  0.0000  0.5000  0.5000  4 Mn 2.71, 4 Re 2.71, 4 Ir 2.71-2.72
Ir  0.5000  0.0000  0.5000  4 Mn 2.71, 4 Re 2.71, 4 Ir 2.71-2.72

Volume (Å³/cell): 56.35
Formation energy (eV per atom): -0.16
Theoretical density (kg/m³): 18434
SG: Cmmm, No. 65



[5]
A plane-wave DFT calculation with PBE was carried out for Mn2ReIr after structural relaxation.

Lattice parameters (Å, degrees): 4.0103 4.9826 4.9826 31.01 90.00 90.00
Closest atoms and distances in Å follow each position.
Atoms (fractional coordinates):
Mn  0.0000  0.0000  0.0000  2 Mn 2.28
Mn  0.5000  0.1125  0.1125  2 Mn 2.28
Re  0.0000  0.7311  0.7311  7 Mn 2.58-2.66, 2 Re 2.66, 4 Ir 2.81
Ir  0.5000  0.3821  0.3821  7 Mn 2.58-2.66, 2 Ir 2.66, 4 Re 2.81

Volume (Å³/cell): 51.29
Formation energy (eV per atom): -0.07
Theoretical density (kg/m³): 15808
SG: Amm2, No. 38



[6]
A plane-wave DFT calculation with PBE was carried out for MnRe2Ir after structural relaxation.

Lattice parameters (Å, degrees): 4.3150 4.3150 4.3150 60.00 60.00 60.00
Closest atoms and distances in Å follow each position.
Atoms (fractional coordinates):
Mn  0.0000  0.0000  0.0000  8 Re 2.64
Re  0.2500  0.2500  0.2500  4 Ir 2.64, 4 Mn 2.64
Re  0.7500  0.7500  0.7500  4 Ir 2.64, 4 Mn 2.64
Ir  0.5000  0.5000  0.5000  8 Re 2.64

Volume (Å³/cell): 56.81
Formation energy (eV per atom): 0.46
Theoretical density (kg/m³): 18109
SG: Fm-3m, No. 225